(1)
# Sr2ScVO

An optimized crystal structure of Sr2ScVO (PBE with a Hubbard U, Alexandria via LeMat-Bulk).

Geometry as POSCAR:
```
Sr2ScVO
1.0
5.684 0.000 0.000
0.000 5.684 0.000
0.000 0.000 3.950
Sr Sc V O
2 1 1 1
direct
0.000 0.500 0.000 Sr
0.500 0.000 0.000 Sr
0.000 0.000 0.500 Sc
0.500 0.500 0.500 V
0.500 0.500 0.000 O
```

Summary:
The space group is P4/mmm, No. 123. As for the total magnetization: 2.75 μB per formula unit. The value obtained for the electronic total energy is -24.12 eV per cell.

=====

(2)
# SrSc2V2O7

An optimized crystal structure of SrSc2V2O7 (PBE with a Hubbard U, Alexandria via LeMat-Bulk).

Geometry as POSCAR:
```
SrSc2V2O7
1.0
4.241 0.000 0.000
0.000 4.249 0.000
-2.118 -2.066 8.257
Sr Sc V O
1 2 2 7
direct
0.000 0.000 0.000 Sr
0.238 0.750 0.501 Sc
0.737 0.249 0.500 Sc
0.378 0.382 0.776 V
0.602 0.617 0.225 V
0.110 0.631 0.249 O
0.248 0.260 0.522 O
0.364 0.873 0.753 O
0.472 0.499 0.000 O
0.612 0.126 0.248 O
0.727 0.739 0.479 O
0.861 0.369 0.752 O
```

Summary:
The space group is P1, No. 1. As for the total magnetization: 3.91 μB per formula unit. The value obtained for the electronic total energy is -96.17 eV per cell.

=====

(3)
# Sr4ScV3O12

An optimized crystal structure of Sr4ScV3O12 (PBE with a Hubbard U, Alexandria via LeMat-Bulk).

Geometry as POSCAR:
```
Sr4ScV3O12
1.0
-3.948 3.948 3.948
3.948 -3.948 3.948
3.948 3.948 -3.948
Sr Sc V O
4 1 3 12
direct
0.000 0.000 0.500 Sr
0.000 0.500 0.000 Sr
0.500 0.000 0.000 Sr
0.500 0.500 0.500 Sr
0.000 0.000 0.000 Sc
0.000 0.500 0.500 V
0.500 0.000 0.500 V
0.500 0.500 0.000 V
0.000 0.262 0.262 O
0.000 0.738 0.738 O
0.250 0.500 0.750 O
0.250 0.750 0.500 O
0.262 0.000 0.262 O
0.262 0.262 0.000 O
0.500 0.250 0.750 O
0.500 0.750 0.250 O
0.738 0.000 0.738 O
0.738 0.738 0.000 O
0.750 0.250 0.500 O
0.750 0.500 0.250 O
```

Summary:
The space group is Im-3m, No. 229. As for the total magnetization: 2.00 μB per formula unit. The value obtained for the electronic total energy is -147.57 eV per cell.